(1)
A plane-wave DFT calculation with PBE was carried out for CdIn2Fe after structural relaxation.

a = 3.0639 Å, b = 3.0639 Å, c = 8.9507 Å
α = 90.00°, β = 90.00°, γ = 90.00°
Last column: nearest neighbours and their distance in Å.
Space group P4mm (No. 99)
One atom of each set of equivalent atoms:
Cd (0.0000, 0.0000, 0.0000)  4 Fe 2.83, 4 Cd 3.06
In (0.0000, 0.0000, 0.4068)  4 Fe 2.83, 4 In 3.06
In (0.5000, 0.5000, 0.7091)  4 In 3.06, 4 Cd 3.39
Fe (0.5000, 0.5000, 0.2031)  4 Cd 2.83, 4 In 2.83, 4 Fe 3.06

Summary:
Magnetization ... 2.5 μB/f.u.



(2)
A plane-wave DFT calculation with PBE was carried out for CdIn2Fe after structural relaxation.

a = 6.0884 Å, b = 8.6414 Å, c = 3.1146 Å
α = 90.00°, β = 90.00°, γ = 90.00°
Last column: nearest neighbours and their distance in Å.
Space group Cmmm (No. 65)
One atom of each set of equivalent atoms:
Cd (0.0000, 0.0000, 0.0000)  2 Fe 3.04, 8 In 3.07, 2 Cd 3.11
In (0.2500, 0.2500, 0.5000)  4 In 3.04-3.11, 4 Cd 3.07, 4 Fe 3.07
Fe (0.0000, 0.5000, 0.0000)  2 Cd 3.04, 8 In 3.07, 2 Fe 3.11

Summary:
Magnetization ... 2.8 μB/f.u.



(3)
A plane-wave DFT calculation with PBE was carried out for CdIn2Fe after structural relaxation.

a = 4.2016 Å, b = 4.2016 Å, c = 9.1029 Å
α = 90.00°, β = 90.00°, γ = 90.00°
Last column: nearest neighbours and their distance in Å.
Space group I-4m2 (No. 119)
One atom of each set of equivalent atoms:
Cd (0.0000, 0.0000, 0.0000)  8 In 2.97-3.10, 4 Fe 3.10
In (0.0000, 0.0000, 0.5000)  4 Cd 2.97, 4 In 3.10, 4 Fe 3.10
In (0.0000, 0.5000, 0.2500)  4 Fe 2.97, 4 Cd 3.10, 4 In 3.10
Fe (0.0000, 0.5000, 0.7500)  8 In 2.97-3.10, 4 Cd 3.10

Summary:
Magnetization ... 2.3 μB/f.u.



(4)
A plane-wave DFT calculation with PBE was carried out for CdIn2Fe after structural relaxation.

a = 3.1581 Å, b = 3.1581 Å, c = 29.1312 Å
α = 90.00°, β = 90.00°, γ = 120.00°
Last column: nearest neighbours and their distance in Å.
Space group R3m (No. 160, hexagonal axes)
One atom of each set of equivalent atoms:
Cd (0.0000, 0.0000, 0.0000)  3 Fe 2.80
In (0.0000, 0.0000, 0.2398)  9 In 3.16-3.31, 3 Cd 3.28
In (0.0000, 0.0000, 0.4781)  3 Fe 2.78
Fe (0.0000, 0.0000, 0.7394)  3 In 2.78, 3 Cd 2.80

Summary:
Magnetization ... 2.5 μB/f.u.



(5)
A plane-wave DFT calculation with PBE was carried out for CdIn2Fe after structural relaxation.

a = 7.0017 Å, b = 7.0017 Å, c = 7.0017 Å
α = 90.00°, β = 90.00°, γ = 90.00°
Last column: nearest neighbours and their distance in Å.
Space group F-43m (No. 216)
One atom of each set of equivalent atoms:
Cd (0.0000, 0.0000, 0.0000)  4 In 3.03, 4 Fe 3.03
In (0.0000, 0.0000, 0.5000)  4 Fe 3.03, 4 In 3.03
In (0.2500, 0.2500, 0.2500)  4 Cd 3.03, 4 In 3.03
Fe (0.2500, 0.2500, 0.7500)  4 Cd 3.03, 4 In 3.03

Summary:
Magnetization ... 2.9 μB/f.u.



(6)
A plane-wave DFT calculation with PBE was carried out for Cd2InFe after structural relaxation.

a = 5.8469 Å, b = 10.6077 Å, c = 2.9842 Å
α = 90.00°, β = 120.26°, γ = 90.00°
Last column: nearest neighbours and their distance in Å.
Space group C2/m (No. 12)
One atom of each set of equivalent atoms:
Cd (0.2500, 0.2500, 0.0000)  6 Cd 2.92-2.98, 2 In 3.03, 2 Fe 3.03
In (0.0000, 0.0000, 0.0000)  4 Fe 2.92-2.94, 2 In 2.98, 4 Cd 3.03
Fe (0.0000, 0.5000, 0.0000)  4 In 2.92-2.94, 2 Fe 2.98, 4 Cd 3.03

Summary:
Magnetization ... 2.6 μB/f.u.



(7)
A plane-wave DFT calculation with PBE was carried out for Cd2InFe after structural relaxation.

a = 6.7480 Å, b = 6.7480 Å, c = 6.7480 Å
α = 90.00°, β = 90.00°, γ = 90.00°
Last column: nearest neighbours and their distance in Å.
Space group F-43m (No. 216)
One atom of each set of equivalent atoms:
Cd (0.0000, 0.0000, 0.0000)  4 Fe 2.92, 4 Cd 2.92
Cd (0.2500, 0.2500, 0.2500)  4 Cd 2.92, 4 In 2.92
In (0.0000, 0.0000, 0.5000)  4 Cd 2.92, 4 Fe 2.92
Fe (0.2500, 0.2500, 0.7500)  4 Cd 2.92, 4 In 2.92

Summary:
Magnetization ... 2.1 μB/f.u.



(8)
A plane-wave DFT calculation with PBE was carried out for CdIn2Fe after structural relaxation.

a = 4.2626 Å, b = 4.2626 Å, c = 8.8355 Å
α = 90.00°, β = 90.00°, γ = 90.00°
Last column: nearest neighbours and their distance in Å.
Space group I4/mmm (No. 139)
One atom of each set of equivalent atoms:
Cd (0.0000, 0.0000, 0.0000)  4 Fe 3.01, 8 In 3.07
In (0.0000, 0.5000, 0.2500)  4 In 3.01, 4 Cd 3.07, 4 Fe 3.07
Fe (0.0000, 0.0000, 0.5000)  4 Cd 3.01, 8 In 3.07

Summary:
Magnetization ... 2.3 μB/f.u.



(9)
A plane-wave DFT calculation with PBE was carried out for Cd2InFe after structural relaxation.

a = 4.1128 Å, b = 4.1128 Å, c = 20.4443 Å
α = 90.00°, β = 90.00°, γ = 90.00°
Last column: nearest neighbours and their distance in Å.
Space group I-42d (No. 122)
One atom of each set of equivalent atoms:
Cd (0.2356, 0.2500, 0.1250)  4 Cd 2.83-2.99, 2 Fe 2.92, 2 In 2.96
In (0.0000, 0.0000, 0.5000)  4 Fe 2.91, 4 Cd 2.96
Fe (0.0000, 0.0000, 0.0000)  4 In 2.91, 4 Cd 2.92

Summary:
Magnetization ... 2.8 μB/f.u.



(10)
A plane-wave DFT calculation with PBE was carried out for CdIn2Fe after structural relaxation.

a = 2.8968 Å, b = 4.6917 Å, c = 12.9897 Å
α = 90.00°, β = 90.00°, γ = 90.00°
Last column: nearest neighbours and their distance in Å.
Space group Immm (No. 71)
One atom of each set of equivalent atoms:
Cd (0.0000, 0.0000, 0.0000)  4 Fe 2.76, 2 Cd 2.90
In (0.0000, 0.5000, 0.1801)  2 Fe 2.75, 2 In 2.90
Fe (0.0000, 0.0000, 0.5000)  4 In 2.75, 4 Cd 2.76, 2 Fe 2.90

Summary:
Magnetization ... 2.1 μB/f.u.



(11)
A plane-wave DFT calculation with PBE was carried out for Cd4InFe after structural relaxation.

a = 8.1142 Å, b = 8.1142 Å, c = 8.1142 Å
α = 90.00°, β = 90.00°, γ = 90.00°
Last column: nearest neighbours and their distance in Å.
Space group F-43m (No. 216)
One atom of each set of equivalent atoms:
Cd (0.1244, 0.1244, 0.1244)  6 Cd 2.85-2.88
In (0.0000, 0.0000, 0.5000)  12 Cd 3.37, 4 Fe 3.51
Fe (0.2500, 0.2500, 0.7500)  12 Cd 3.36, 4 In 3.51

Summary:
Magnetization ... 2.9 μB/f.u.



(12)
A plane-wave DFT calculation with PBE was carried out for Cd2InFe after structural relaxation.

a = 3.0025 Å, b = 3.0025 Å, c = 9.0167 Å
α = 90.00°, β = 90.00°, γ = 90.00°
Last column: nearest neighbours and their distance in Å.
Space group P4/mmm (No. 123)
One atom of each set of equivalent atoms:
Cd (0.0000, 0.0000, 0.2071)  4 Fe 2.83, 4 Cd 3.00
In (0.5000, 0.5000, 0.5000)  4 In 3.00
Fe (0.5000, 0.5000, 0.0000)  8 Cd 2.83, 4 Fe 3.00

Summary:
Magnetization ... 2.6 μB/f.u.



(13)
A plane-wave DFT calculation with PBE was carried out for CdIn2Fe after structural relaxation.

a = 3.1452 Å, b = 4.1354 Å, c = 6.2530 Å
α = 90.00°, β = 90.43°, γ = 90.00°
Last column: nearest neighbours and their distance in Å.
Space group P2/m (No. 10)
One atom of each set of equivalent atoms:
Cd (0.0000, 0.0000, 0.0000)  8 In 3.09-3.10, 2 Fe 3.13, 2 Cd 3.15
In (0.4978, 0.5000, 0.7305)  3 In 2.88-3.15, 4 Fe 2.96-2.98, 4 Cd 3.09-3.10
Fe (0.0000, 0.0000, 0.5000)  8 In 2.96-2.98, 2 Cd 3.13, 2 Fe 3.15

Summary:
Magnetization ... 2.5 μB/f.u.



(14)
A plane-wave DFT calculation with PBE was carried out for CdIn2Fe after structural relaxation.

a = 3.4806 Å, b = 3.9915 Å, c = 5.8532 Å
α = 90.00°, β = 90.00°, γ = 90.00°
Last column: nearest neighbours and their distance in Å.
Space group Pmm2 (No. 25)
One atom of each set of equivalent atoms:
Cd (0.0000, 0.0000, 0.0000)  5 In 2.73-3.02, 4 Fe 3.04
In (0.0000, 0.0000, 0.4660)  1 Cd 2.73, 4 Fe 2.92
In (0.5000, 0.5000, 0.7519)  2 Fe 2.90-2.95, 4 Cd 3.02, 4 In 3.13
Fe (0.5000, 0.5000, 0.2566)  6 In 2.90-2.95, 4 Cd 3.04

Summary:
Magnetization ... 2.1 μB/f.u.



(15)
A plane-wave DFT calculation with PBE was carried out for Cd2InFe after structural relaxation.

a = 3.1308 Å, b = 3.1308 Å, c = 28.8011 Å
α = 90.00°, β = 90.00°, γ = 120.00°
Last column: nearest neighbours and their distance in Å.
Space group R-3m (No. 166, hexagonal axes)
One atom of each set of equivalent atoms:
Cd (0.0000, 0.0000, 0.2415)  3 Fe 2.81, 6 Cd 3.13
In (0.0000, 0.0000, 0.0000)  6 In 3.13, 6 Cd 3.20
Fe (0.0000, 0.0000, 0.5000)  6 Cd 2.81, 6 Fe 3.13

Summary:
Magnetization ... 2.8 μB/f.u.



| no. | volume (A^3/atom) | energy of formation from the pure elements (eV/f.u.) |
| --- | --- | --- |
| 1 | 21.0 | 0.99 |
| 2 | 20.5 | 1.31 |
| 3 | 20.1 | 1.25 |
| 4 | 21.0 | 1.15 |
| 5 | 21.5 | 1.83 |
| 6 | 20.0 | 1.21 |
| 7 | 19.2 | 1.52 |
| 8 | 20.1 | 1.26 |
| 9 | 21.6 | 1.72 |
| 10 | 22.1 | 0.86 |
| 11 | 22.3 | 2.51 |
| 12 | 20.3 | 1.00 |
| 13 | 20.3 | 1.22 |
| 14 | 20.3 | 1.28 |
| 15 | 20.4 | 1.14 |